(w)
DFT (PBE-GGA) results for Zr2BiH after structural relaxation.

Summary:
volume	225.31	Å³/cell
Fermi-level density of states	3.4	states/eV/f.u.

```
data_Zr2BiH
_space_group_name_H-M_alt 'R 3 m'
_space_group_IT_number 160
_space_group_name_Hall 'R 3 -2"'
_cell_length_a 3.4970
_cell_length_b 3.4970
_cell_length_c 21.2750
_cell_angle_alpha 90.00
_cell_angle_beta 90.00
_cell_angle_gamma 120.00
loop_
_atom_site_label
_atom_site_fract_x
_atom_site_fract_y
_atom_site_fract_z
Zr1 0.0000 0.0000 0.0000
Zr2 0.0000 0.0000 0.2217
Bi1 0.0000 0.0000 0.7772
H1 0.0000 0.0000 0.6091
```


(x)
DFT (PBE-GGA) results for Zr2BiH after structural relaxation.

Summary:
volume	334.57	Å³/cell
Fermi-level density of states	2.4	states/eV/f.u.

```
data_Zr2BiH
_space_group_name_H-M_alt 'I 41/a m d'
_space_group_IT_number 141
_cell_length_a 5.794
_cell_length_b 5.794
_cell_length_c 9.965
_cell_angle_alpha 90.00
_cell_angle_beta 90.00
_cell_angle_gamma 90.00
loop_
_space_group_symop_operation_xyz
'x,y,z'
'-x,-y,-z'
'-y+1/4,x+3/4,z+1/4'
'y+1/4,-x+3/4,-z+1/4'
'-x+1/2,-y,z+1/2'
'x+1/2,y,-z+1/2'
'y+1/4,-x+1/4,z+3/4'
'-y+1/4,x+1/4,-z+3/4'
'x,-y,-z'
'-x,y,z'
'-y+1/4,-x+1/4,-z+3/4'
'y+1/4,x+1/4,z+3/4'
'-x+1/2,y,-z+1/2'
'x+1/2,-y,z+1/2'
'y+1/4,x+3/4,-z+1/4'
'-y+1/4,-x+3/4,z+1/4'
'x+1/2,y+1/2,z+1/2'
'-x+1/2,-y+1/2,-z+1/2'
'-y+3/4,x+1/4,z+3/4'
'y+3/4,-x+1/4,-z+3/4'
'-x,-y+1/2,z'
'x,y+1/2,-z'
'y+3/4,-x+3/4,z+1/4'
'-y+3/4,x+3/4,-z+1/4'
'x+1/2,-y+1/2,-z+1/2'
'-x+1/2,y+1/2,z+1/2'
'-y+3/4,-x+3/4,-z+1/4'
'y+3/4,x+3/4,z+1/4'
'-x,y+1/2,-z'
'x,-y+1/2,z'
'y+3/4,x+1/4,-z+3/4'
'-y+3/4,-x+1/4,z+3/4'
loop_
_atom_site_label
_atom_site_fract_x
_atom_site_fract_y
_atom_site_fract_z
Zr1 0.000 0.000 0.000
Bi1 0.000 0.250 0.375
H1 0.000 0.250 0.875
```


Going by the energies, (w) is most stable and the next is 0.201 eV/atom up.


(w)
DFT (PBE-GGA) results for Zr2BiH after structural relaxation.

Summary:
volume	323.65	Å³/cell
Fermi-level density of states	0.4	states/eV/f.u.

```
data_Zr2BiH
_space_group_name_H-M_alt 'F m -3 m'
_space_group_IT_number 225
_space_group_name_Hall '-F 4 2 3'
_cell_length_a 6.866
_cell_length_b 6.866
_cell_length_c 6.866
_cell_angle_alpha 90.00
_cell_angle_beta 90.00
_cell_angle_gamma 90.00
loop_
_atom_site_label
_atom_site_fract_x
_atom_site_fract_y
_atom_site_fract_z
Zr1 0.250 0.250 0.250
Bi1 0.000 0.000 0.000
H1 0.000 0.000 0.500
```


(x)
DFT (PBE-GGA) results for Zr2BiH after structural relaxation.

Summary:
volume	225.84	Å³/cell
Fermi-level density of states	4.2	states/eV/f.u.

```
data_Zr2BiH
_space_group_name_H-M_alt 'R -3 m'
_space_group_IT_number 166
_space_group_name_Hall '-R 3 2"'
_cell_length_a 3.4595
_cell_length_b 3.4595
_cell_length_c 21.7894
_cell_angle_alpha 90.00
_cell_angle_beta 90.00
_cell_angle_gamma 120.00
loop_
_atom_site_label
_atom_site_fract_x
_atom_site_fract_y
_atom_site_fract_z
Zr1 0.0000 0.0000 0.2217
Bi1 0.0000 0.0000 0.0000
H1 0.0000 0.0000 0.5000
```


(y)
DFT (PBE-GGA) results for Zr2BiH after structural relaxation.

Summary:
volume	294.74	Å³/cell
Fermi-level density of states	1.8	states/eV/f.u.

```
data_Zr2BiH
_space_group_name_H-M_alt 'C 1 2/m 1'
_space_group_IT_number 12
_cell_length_a 5.992
_cell_length_b 5.992
_cell_length_c 8.209
_cell_angle_alpha 90.00
_cell_angle_beta 90.23
_cell_angle_gamma 90.00
loop_
_space_group_symop_operation_xyz
'x,y,z'
'-x,-y,-z'
'-x,y,-z'
'x,-y,z'
'x+1/2,y+1/2,z'
'-x+1/2,-y+1/2,-z'
'-x+1/2,y+1/2,-z'
'x+1/2,-y+1/2,z'
loop_
_atom_site_label
_atom_site_fract_x
_atom_site_fract_y
_atom_site_fract_z
Zr1 0.000 0.250 0.000
Zr2 0.248 0.000 0.646
Bi1 0.248 0.500 0.717
H1 0.249 0.000 0.908
```


(z)
DFT (PBE-GGA) results for Zr2BiH after structural relaxation.

Summary:
volume	76.55	Å³/cell
Fermi-level density of states	1.5	states/eV/f.u.

```
data_Zr2BiH
_space_group_name_H-M_alt 'P -3 m 1'
_space_group_IT_number 164
_space_group_name_Hall '-P 3 2"'
_cell_length_a 3.6315
_cell_length_b 3.6315
_cell_length_c 6.7028
_cell_angle_alpha 90.00
_cell_angle_beta 90.00
_cell_angle_gamma 120.00
loop_
_atom_site_label
_atom_site_fract_x
_atom_site_fract_y
_atom_site_fract_z
Zr1 0.3333 0.6667 0.1706
Bi1 0.0000 0.0000 0.5000
H1 0.0000 0.0000 0.0000
```


Going by the energies, (y) is most stable and the next is 0.141 eV/atom up.


(w)
DFT (PBE-GGA) results for Zr3BiH3 after structural relaxation.

Summary:
volume	199.40	Å³/cell
Fermi-level density of states	3.5	states/eV/f.u.

```
data_Zr3BiH3
_space_group_name_H-M_alt 'P m -3 n'
_space_group_IT_number 223
_space_group_name_Hall '-P 4n 2 3'
_cell_length_a 5.842
_cell_length_b 5.842
_cell_length_c 5.842
_cell_angle_alpha 90.00
_cell_angle_beta 90.00
_cell_angle_gamma 90.00
loop_
_atom_site_label
_atom_site_fract_x
_atom_site_fract_y
_atom_site_fract_z
Zr1 0.000 0.250 0.500
Bi1 0.000 0.000 0.000
H1 0.000 0.500 0.250
```


(x)
DFT (PBE-GGA) results for Zr3BiH3 after structural relaxation.

Summary:
volume	659.85	Å³/cell
Fermi-level density of states	3.2	states/eV/f.u.

```
data_Zr3BiH3
_space_group_name_H-M_alt 'R -3'
_space_group_IT_number 148
_space_group_name_Hall '-R 3'
_cell_length_a 5.8203
_cell_length_b 5.8203
_cell_length_c 22.4918
_cell_angle_alpha 90.00
_cell_angle_beta 90.00
_cell_angle_gamma 120.00
loop_
_atom_site_label
_atom_site_fract_x
_atom_site_fract_y
_atom_site_fract_z
Zr1 0.0025 0.6816 0.3972
Bi1 0.0000 0.0000 0.1661
H1 0.0027 0.6638 0.6378
```


Going by the energies, (w) is most stable and the next is 0.175 eV/atom up.